VASP calculation (GGA-PBE) on a relaxed Ca2CuHRh crystal.

Values from the calculation:
Its energy above the most stable polymorph in this dataset is 89.0 meV per atom. For the calculated volume, the calculation gives 16.99 Å³/atom. The calculation puts the total moment at 0.000 μB per cell. The space group is P4/mmm (123). The density of states at the Fermi level is 2.1 states/eV per cell. The crystal system is tetragonal.

Lattice parameters (Å, degrees): 4.8172 4.8172 3.6616 90.00 90.00 90.00
Positions (direct):
H (0.0000, 0.0000, 0.0000)
Ca (0.0000, 0.5000, 0.0000)
Ca (0.5000, 0.0000, 0.0000)
Rh (0.5000, 0.5000, 0.5000)
Cu (0.0000, 0.0000, 0.5000)